w) Material: PmPrTmTh
Method: DFT, GGA-PBE
State: relaxed

## Properties
density of states at the Fermi level = 5.77 states/eV/f.u.

Cell lengths 3.6145, 3.6145, 35.0983 Å; angles 90.00, 90.00, 120.00 degrees
With the nearest neighbours (Å) after each atom.
Space group R3m (No. 160, hexagonal axes)
One atom of each set of equivalent atoms:
Pm (0.0000, 0.0000, 0.0000)  3 Th 3.53, 6 Pm 3.61, 3 Pr 3.75
Pr (0.0000, 0.0000, 0.7554)  3 Tm 3.61, 6 Pr 3.61, 3 Pm 3.75
Tm (0.0000, 0.0000, 0.1728)  3 Th 3.48, 3 Pr 3.61, 6 Tm 3.61
Th (0.0000, 0.0000, 0.5855)  3 Tm 3.48, 3 Pm 3.53, 6 Th 3.61



x) Material: PmPrTmTh
Method: DFT, GGA-PBE
State: relaxed

## Properties
density of states at the Fermi level = 7.84 states/eV/f.u.

Cell lengths 8.1049, 8.1049, 8.1049 Å; angles 90.00, 90.00, 90.00 degrees
With the nearest neighbours (Å) after each atom.
Space group F-43m (No. 216)
One atom of each set of equivalent atoms:
Pm (0.0000, 0.0000, 0.0000)  4 Th 3.51, 4 Pr 3.51
Pr (0.2500, 0.2500, 0.7500)  4 Pm 3.51, 4 Tm 3.51
Tm (0.0000, 0.0000, 0.5000)  4 Pr 3.51, 4 Th 3.51
Th (0.2500, 0.2500, 0.2500)  4 Pm 3.51, 4 Tm 3.51



Of them, w) has the highest stability.



w) Material: Pm2PrTl
Method: DFT, GGA-PBE
State: relaxed

## Properties
density of states at the Fermi level = 4.92 states/eV/f.u.

Cell lengths 3.7164, 3.7164, 33.3353 Å; angles 90.00, 90.00, 120.00 degrees
With the nearest neighbours (Å) after each atom.
Space group R-3m (No. 166, hexagonal axes)
One atom of each set of equivalent atoms:
Pm (0.0000, 0.0000, 0.2443)  3 Tl 3.36, 3 Pr 3.66, 6 Pm 3.72
Pr (0.0000, 0.0000, 0.0000)  6 Pm 3.66, 6 Pr 3.72
Tl (0.0000, 0.0000, 0.5000)  6 Pm 3.36, 6 Tl 3.72



x) Material: Pm2PrTl
Method: DFT, GGA-PBE
State: relaxed

## Properties
density of states at the Fermi level = 5.41 states/eV/f.u.

Cell lengths 3.7619, 3.7619, 32.9914 Å; angles 90.00, 90.00, 120.00 degrees
With the nearest neighbours (Å) after each atom.
Space group R3m (No. 160, hexagonal axes)
One atom of each set of equivalent atoms:
Pm (0.0000, 0.0000, 0.0000)  3 Tl 3.32, 3 Pr 3.70
Pm (0.0000, 0.0000, 0.1810)  3 Tl 3.33, 3 Pr 3.68
Pr (0.0000, 0.0000, 0.7574)  6 Pm 3.68-3.70, 6 Pr 3.76
Tl (0.0000, 0.0000, 0.5907)  6 Pm 3.32-3.33



Of them, w) has the highest stability.



w) Material: Pm2PrTl
Method: DFT, GGA-PBE
State: relaxed

## Properties
density of states at the Fermi level = 6.11 states/eV/f.u.

Cell lengths 7.9372, 7.9372, 7.9372 Å; angles 90.00, 90.00, 90.00 degrees
With the nearest neighbours (Å) after each atom.
Space group Fm-3m (No. 225)
One atom of each set of equivalent atoms:
Pm (0.2500, 0.2500, 0.2500)  4 Tl 3.44, 4 Pr 3.44
Pr (0.0000, 0.0000, 0.0000)  8 Pm 3.44
Tl (0.0000, 0.0000, 0.5000)  8 Pm 3.44



x) Material: Pm2PrTl
Method: DFT, GGA-PBE
State: relaxed

## Properties
density of states at the Fermi level = 4.18 states/eV/f.u.

Cell lengths 3.7119, 3.7119, 9.3980 Å; angles 90.00, 90.00, 90.00 degrees
With the nearest neighbours (Å) after each atom.
Space group P4/mmm (No. 123)
One atom of each set of equivalent atoms:
Pm (0.0000, 0.0000, 0.2244)  4 Tl 3.37, 4 Pr 3.69, 4 Pm 3.71
Pr (0.5000, 0.5000, 0.5000)  8 Pm 3.69, 4 Pr 3.71
Tl (0.5000, 0.5000, 0.0000)  8 Pm 3.37, 4 Tl 3.71



y) Material: Pm2PrTl
Method: DFT, GGA-PBE
State: relaxed

## Properties
density of states at the Fermi level = 6.99 states/eV/f.u.

Cell lengths 5.0042, 5.0042, 4.9514 Å; angles 90.00, 90.00, 90.00 degrees
With the nearest neighbours (Å) after each atom.
Space group P4/mmm (No. 123)
One atom of each set of equivalent atoms:
Pm (0.0000, 0.5000, 0.0000)  4 Tl 3.52, 4 Pr 3.52, 4 Pm 3.54
Pr (0.0000, 0.0000, 0.5000)  8 Pm 3.52, 4 Tl 3.54
Tl (0.5000, 0.5000, 0.5000)  8 Pm 3.52, 4 Pr 3.54



Of them, y) has the highest stability.